The following is a DFT calculation (GGA+U) of a relaxed structure of V2GeO.

a = 5.8684 Å, b = 5.8684 Å, c = 5.8684 Å
α = 90.00°, β = 90.00°, γ = 90.00°
Last column: nearest neighbours and their distance in Å.
Space group Fm-3m (No. 225)
Unique sites:
V: 0.2500 0.2500 0.2500  4 O 2.54, 4 Ge 2.54
Ge: 0.0000 0.0000 0.0000  8 V 2.54
O: 0.0000 0.0000 0.5000  8 V 2.54

Output
Final energy in eV per atom: -5.547